# In2Sn5Pb12

In2Sn5Pb12 after structural relaxation (PBE-GGA, Alexandria).

```
In2Sn5Pb12
1.0
1.587 -1.700 10.194
2.989 -9.784 2.157
6.006 0.562 0.482
Sn Pb In
5 12 2
Direct
0.199 0.199 0.413 Sn
0.801 0.801 0.587 Sn
0.307 0.307 0.868 Sn
0.000 0.000 0.500 Sn
0.693 0.693 0.132 Sn
0.644 0.157 0.612 Pb
0.843 0.356 0.388 Pb
0.157 0.644 0.612 Pb
0.583 0.583 0.736 Pb
0.417 0.417 0.264 Pb
0.106 0.106 0.966 Pb
0.356 0.843 0.388 Pb
0.062 0.544 0.202 Pb
0.456 0.938 0.798 Pb
0.938 0.456 0.798 Pb
0.894 0.894 0.034 Pb
0.544 0.062 0.202 Pb
0.253 0.747 0.000 In
0.747 0.253 0.000 In
```

Computed properties:
Energy of formation from the pure elements ... 0.06 eV/atom
E above lowest polymorph ... 0 meV/atom
Fermi-level density of states ... 10.1 states/eV/f.u.
Magnetization ... 0.000 μB/atom